## HfCrO2 (GGA+U)

Data for an optimized crystal structure of HfCrO2.

For the total magnetization, the calculation gives 0.99 μB/atom. As for the symmetry: R-3m (166). As for the total DFT energy (no corrections): -9.013 eV per atom. The density of states at the Fermi level comes out at 0.1341 states/eV per atom.

Structure (POSCAR):
```
HfCrO2
1.0
3.401 0.000 0.000
-1.701 2.946 0.000
0.000 0.000 17.012
Hf Cr O
3 3 6
Direct
0.000 0.000 0.000 Hf
0.333 0.667 0.667 Hf
0.667 0.333 0.333 Hf
0.000 0.000 0.500 Cr
0.333 0.667 0.167 Cr
0.667 0.333 0.833 Cr
0.000 0.000 0.382 O
0.000 0.000 0.618 O
0.333 0.667 0.049 O
0.333 0.667 0.284 O
0.667 0.333 0.716 O
0.667 0.333 0.951 O
```